[1]
DFT (PBE-GGA) results for crystalline Dy3FeBi at its relaxed geometry.

Values from the calculation:
Total DFT energy (no corrections) ... -5.4291 eV per atom
Volume ... 136 Å³ per cell
Fermi-level density of states ... 7.01 states/eV per cell
Size of the total moment ... 0.144 μB/f.u.

Cell lengths 5.139, 5.139, 5.139 Å; angles 90.00, 90.00, 90.00 degrees
Site moments in Bohr magnetons follow the coordinates.
Positions (direct):
Fe (0.000, 0.000, 0.000)  0.15
Bi (0.500, 0.500, 0.500)  0.00
Dy (0.000, 0.500, 0.000)  0.00
Dy (0.000, 0.000, 0.500)  0.00
Dy (0.500, 0.000, 0.000)  0.00


[2]
DFT (PBE-GGA) results for crystalline SiAg2S at its relaxed geometry.

Values from the calculation:
Formation energy from raw total energies ... 0.45 eV per atom
E above lowest polymorph ... 0.066 eV/atom
Volume ... 72 Å³ per cell
Fermi-level density of states ... 1.74 states/eV per cell
Size of the total moment ... 0.000 μB/f.u.

Cell lengths 4.660, 4.660, 4.660 Å; angles 60.00, 60.00, 60.00 degrees
Positions (direct):
S (0.500, 0.500, 0.500)
Si (0.000, 0.000, 0.000)
Ag (0.250, 0.250, 0.250)
Ag (0.750, 0.750, 0.750)


[3]
DFT (PBE-GGA) results for crystalline AlVFeRe at its relaxed geometry.

Values from the calculation:
Total DFT energy (no corrections) ... -8.7013 eV per atom
Volume ... 53 Å³ per cell
Fermi-level density of states ... 3.93 states/eV per cell
Size of the total moment ... 0.913 μB/f.u.

Cell lengths 4.205, 4.205, 4.205 Å; angles 60.00, 60.00, 60.00 degrees
Site moments in Bohr magnetons follow the coordinates.
Positions (direct):
Re (0.000, 0.000, 0.000)  0.23
Al (0.250, 0.250, 0.250)  -0.01
Fe (0.500, 0.500, 0.500)  0.99
V (0.750, 0.750, 0.750)  -0.28


[4]
DFT (PBE-GGA) results for crystalline Y5AgS4 at its relaxed geometry.

Values from the calculation:
Formation energy from raw total energies ... -1.62 eV per atom
Volume ... 222 Å³ per cell
Fermi-level density of states ... 6.39 states/eV per cell
Size of the total moment ... 0.000 μB/f.u.

Cell lengths 3.923, 6.941, 8.903 Å; angles 75.82, 77.27, 73.58 degrees
Positions (direct):
Y (0.204, 0.901, 0.691)
Y (0.796, 0.099, 0.309)
Y (0.392, 0.325, 0.892)
Y (0.000, 0.500, 0.500)
Y (0.608, 0.675, 0.108)
Ag (0.000, 0.000, 0.000)
S (0.599, 0.205, 0.598)
S (0.202, 0.390, 0.205)
S (0.798, 0.610, 0.795)
S (0.401, 0.795, 0.402)


[5]
DFT (PBE-GGA) results for crystalline Pm2Pr7 at its relaxed geometry.

Values from the calculation:
E above lowest polymorph ... 0.025 eV/atom
Volume ... 323 Å³ per cell
Fermi-level density of states ... 13.99 states/eV per cell
Size of the total moment ... 0.000 μB/f.u.

Cell lengths 3.628, 10.137, 10.137 Å; angles 120.00, 90.00, 90.00 degrees
Positions (direct):
Pm (0.000, 0.667, 0.333)
Pm (0.000, 0.333, 0.667)
Pr (0.500, 0.645, 0.000)
Pr (0.500, 0.000, 0.645)
Pr (0.500, 0.355, 0.355)
Pr (0.000, 0.312, 0.000)
Pr (0.000, 0.000, 0.312)
Pr (0.000, 0.688, 0.688)
Pr (0.500, 0.000, 0.000)


[6]
DFT (PBE-GGA) results for crystalline Zr2FeHPt at its relaxed geometry.

Values from the calculation:
Total DFT energy (no corrections) ... -7.5043 eV per atom
Volume ... 73 Å³ per cell
Fermi-level density of states ... 4.91 states/eV per cell
Size of the total moment ... 1.391 μB/f.u.

Cell lengths 4.578, 4.578, 3.493 Å; angles 90.00, 90.00, 90.00 degrees
Site moments in Bohr magnetons follow the coordinates.
Positions (direct):
H (0.000, 0.000, 0.000)  0.00
Zr (0.000, 0.500, 0.000)  -0.14
Zr (0.500, 0.000, 0.000)  -0.14
Pt (0.500, 0.500, 0.500)  0.01
Fe (0.000, 0.000, 0.500)  1.77


[7]
DFT (PBE-GGA) results for crystalline LiAcAgAu at its relaxed geometry.

Values from the calculation:
E above lowest polymorph ... 0.000 eV/atom
Volume ... 99 Å³ per cell
Fermi-level density of states ... 2.30 states/eV per cell
Size of the total moment ... 0.000 μB/f.u.

Cell lengths 4.650, 4.655, 5.895 Å; angles 113.09, 90.00, 119.96 degrees
Positions (direct):
Li (0.113, 0.226, 0.981)
Ac (0.619, 0.237, 0.498)
Ag (0.827, 0.653, 0.123)
Au (0.408, 0.816, 0.865)


[8]
DFT (PBE-GGA) results for crystalline LaTb2Dy2Tm2 at its relaxed geometry.

Values from the calculation:
Total DFT energy (no corrections) ... -4.5224 eV per atom
Volume ... 228 Å³ per cell
Fermi-level density of states ... 12.50 states/eV per cell
Size of the total moment ... 0.001 μB/f.u.

Cell lengths 3.518, 6.071, 11.808 Å; angles 71.63, 90.00, 106.84 degrees
Positions (direct):
La (0.000, 0.000, 0.500)
Tb (0.669, 0.339, 0.918)
Tb (0.331, 0.661, 0.082)
Dy (0.447, 0.894, 0.774)
Dy (0.553, 0.106, 0.226)
Tm (0.778, 0.556, 0.358)
Tm (0.222, 0.444, 0.642)


[9]
DFT (PBE-GGA) results for crystalline Tb2AsC at its relaxed geometry.

Values from the calculation:
Total DFT energy (no corrections) ... -6.0132 eV per atom
Volume ... 95 Å³ per cell
Fermi-level density of states ... 1.48 states/eV per cell
Size of the total moment ... 0.000 μB/f.u.

Cell lengths 3.596, 3.596, 8.704 Å; angles 78.08, 78.08, 60.00 degrees
Positions (direct):
As (0.000, 0.000, 0.000)
Tb (0.114, 0.114, 0.659)
Tb (0.886, 0.886, 0.341)
C (0.500, 0.500, 0.500)


[10]
DFT (PBE-GGA) results for crystalline Na2SiO9 at its relaxed geometry.

Values from the calculation:
Formation energy from raw total energies ... -0.94 eV per atom
Volume ... 437 Å³ per cell
Fermi-level density of states ... 0.18 states/eV per cell
Size of the total moment ... 3.968 μB/f.u.

Cell lengths 6.008, 6.582, 11.101 Å; angles 84.22, 90.00, 90.00 degrees
Site moments in Bohr magnetons follow the coordinates.
Positions (direct):
Na (0.460, 0.192, 0.720)  0.00
Na (0.960, 0.808, 0.280)  0.00
Na (0.503, 0.337, 0.004)  0.00
Na (0.003, 0.663, 0.996)  0.00
Si (0.984, 0.256, 0.837)  -0.02
Si (0.484, 0.744, 0.163)  -0.02
O (0.117, 0.332, 0.714)  0.42
O (0.617, 0.668, 0.286)  0.42
O (0.032, 0.980, 0.861)  -0.03
O (0.532, 0.020, 0.139)  -0.03
O (0.137, 0.356, 0.936)  0.34
O (0.637, 0.644, 0.064)  0.34
O (0.721, 0.266, 0.846)  0.07
O (0.221, 0.734, 0.154)  0.07
O (0.961, 0.888, 0.666)  0.46
O (0.461, 0.112, 0.334)  0.46
O (0.588, 0.481, 0.554)  0.79
O (0.088, 0.519, 0.446)  0.79
O (0.574, 0.665, 0.563)  0.82
O (0.074, 0.335, 0.437)  0.82
O (0.161, 0.845, 0.672)  0.43
O (0.661, 0.155, 0.328)  0.43
O (0.238, 0.919, 0.832)  -0.05
O (0.738, 0.081, 0.168)  -0.05


[11]
DFT (PBE-GGA) results for crystalline Pr23Cd4Ru7 at its relaxed geometry.

Values from the calculation:
Total DFT energy (no corrections) ... -5.4827 eV per atom
Volume ... 1988 Å³ per cell
Fermi-level density of states ... 67.15 states/eV per cell
Size of the total moment ... 0.000 μB/f.u.

Cell lengths 10.075, 10.075, 22.612 Å; angles 90.00, 90.00, 120.00 degrees
Positions (direct):
Pr (0.127, 0.873, 0.364)
Pr (0.746, 0.873, 0.364)
Pr (0.127, 0.254, 0.364)
Pr (0.873, 0.127, 0.864)
Pr (0.254, 0.127, 0.864)
Pr (0.873, 0.746, 0.864)
Pr (0.205, 0.795, 0.218)
Pr (0.590, 0.795, 0.218)
Pr (0.205, 0.410, 0.218)
Pr (0.795, 0.205, 0.718)
Pr (0.410, 0.205, 0.718)
Pr (0.795, 0.590, 0.718)
Pr (0.207, 0.793, 0.053)
Pr (0.586, 0.793, 0.053)
Pr (0.207, 0.414, 0.053)
Pr (0.793, 0.207, 0.553)
Pr (0.414, 0.207, 0.553)
Pr (0.793, 0.586, 0.553)
Pr (0.206, 0.794, 0.510)
Pr (0.587, 0.794, 0.510)
Pr (0.206, 0.413, 0.510)
Pr (0.794, 0.206, 0.010)
Pr (0.413, 0.206, 0.010)
Pr (0.794, 0.587, 0.010)
Pr (0.540, 0.460, 0.415)
Pr (0.919, 0.460, 0.415)
Pr (0.540, 0.081, 0.415)
Pr (0.460, 0.540, 0.915)
Pr (0.081, 0.540, 0.915)
Pr (0.460, 0.919, 0.915)
Pr (0.540, 0.460, 0.144)
Pr (0.919, 0.460, 0.144)
Pr (0.540, 0.081, 0.144)
Pr (0.460, 0.540, 0.644)
Pr (0.081, 0.540, 0.644)
Pr (0.460, 0.919, 0.644)
Pr (0.333, 0.667, 0.354)
Pr (0.667, 0.333, 0.854)
Pr (0.000, 0.000, 0.500)
Pr (0.000, 0.000, 0.000)
Pr (0.793, 0.207, 0.280)
Pr (0.413, 0.207, 0.280)
Pr (0.793, 0.587, 0.280)
Pr (0.207, 0.793, 0.780)
Pr (0.587, 0.793, 0.780)
Pr (0.207, 0.413, 0.780)
Cd (0.894, 0.106, 0.137)
Cd (0.212, 0.106, 0.137)
Cd (0.894, 0.788, 0.137)
Cd (0.106, 0.894, 0.637)
Cd (0.788, 0.894, 0.637)
Cd (0.106, 0.212, 0.637)
Cd (0.000, 0.000, 0.250)
Cd (0.000, 0.000, 0.750)
Ru (0.483, 0.517, 0.290)
Ru (0.033, 0.517, 0.290)
Ru (0.483, 0.967, 0.290)
Ru (0.517, 0.483, 0.790)
Ru (0.967, 0.483, 0.790)
Ru (0.517, 0.033, 0.790)
Ru (0.853, 0.147, 0.438)
Ru (0.293, 0.147, 0.438)
Ru (0.853, 0.707, 0.438)
Ru (0.147, 0.853, 0.938)
Ru (0.707, 0.853, 0.938)
Ru (0.147, 0.293, 0.938)
Ru (0.333, 0.667, 0.132)
Ru (0.667, 0.333, 0.632)


[12]
DFT (PBE-GGA) results for crystalline Ce4AgRu2 at its relaxed geometry.

Values from the calculation:
Total DFT energy (no corrections) ... -6.6828 eV per atom
Volume ... 338 Å³ per cell
Fermi-level density of states ... 32.09 states/eV per cell
Size of the total moment ... 1.843 μB/f.u.

Cell lengths 7.618, 7.617, 7.592 Å; angles 108.13, 108.12, 112.33 degrees
Site moments in Bohr magnetons follow the coordinates.
Positions (direct):
Ce (0.981, 0.239, 0.383)  0.41
Ce (0.402, 0.514, 0.248)  0.39
Ce (0.855, 0.598, 0.617)  0.41
Ce (0.764, 0.151, 0.747)  0.38
Ce (0.404, 0.016, 0.253)  0.39
Ce (0.266, 0.154, 0.752)  0.39
Ce (0.488, 0.731, 0.883)  0.41
Ce (0.847, 0.605, 0.117)  0.41
Ag (0.252, 0.752, 0.500)  0.01
Ag (0.002, 0.002, 0.000)  0.01
Ru (0.479, 0.373, 0.608)  -0.07
Ru (0.765, 0.871, 0.392)  -0.07
Ru (0.623, 0.229, 0.107)  -0.07
Ru (0.121, 0.515, 0.893)  -0.07


[13]
DFT (PBE-GGA) results for crystalline CeMg5Ru2 at its relaxed geometry.

Values from the calculation:
Total DFT energy (no corrections) ... -4.1691 eV per atom
Volume ... 163 Å³ per cell
Fermi-level density of states ... 4.52 states/eV per cell
Size of the total moment ... 0.000 μB/f.u.

Cell lengths 4.314, 6.515, 6.515 Å; angles 81.29, 70.67, 70.67 degrees
Positions (direct):
Ce (0.000, 0.000, 0.000)
Mg (0.000, 0.500, 0.500)
Mg (0.328, 0.496, 0.848)
Mg (0.672, 0.504, 0.152)
Mg (0.672, 0.152, 0.504)
Mg (0.328, 0.848, 0.496)
Ru (0.324, 0.176, 0.176)
Ru (0.676, 0.824, 0.824)


[14]
DFT (PBE-GGA) results for crystalline Ca2CuNiH at its relaxed geometry.

Values from the calculation:
E above lowest polymorph ... 0.000 eV/atom
Volume ... 86 Å³ per cell
Fermi-level density of states ... 2.60 states/eV per cell
Size of the total moment ... 0.000 μB/f.u.

Cell lengths 5.002, 5.002, 3.444 Å; angles 90.00, 90.00, 90.00 degrees
Positions (direct):
Ni (0.000, 0.000, 0.500)
Ca (0.000, 0.500, 0.000)
Ca (0.500, 0.000, 0.000)
Cu (0.500, 0.500, 0.500)
H (0.000, 0.000, 0.000)


[15]
DFT (PBE-GGA) results for crystalline AsAuCl at its relaxed geometry.

Values from the calculation:
Formation energy from raw total energies ... 0.03 eV per atom
E above lowest polymorph ... 0.240 eV/atom
Volume ... 66 Å³ per cell
Fermi-level density of states ... 1.85 states/eV per cell
Size of the total moment ... 0.000 μB/f.u.

Cell lengths 3.761, 3.761, 5.386 Å; angles 90.00, 90.00, 120.00 degrees
Positions (direct):
As (0.000, 0.000, 0.049)
Au (0.667, 0.333, 0.304)
Cl (0.333, 0.667, 0.647)


[16]
DFT (PBE-GGA) results for crystalline BaSr2W at its relaxed geometry.

Values from the calculation:
E above lowest polymorph ... 0.118 eV/atom
Volume ... 147 Å³ per cell
Fermi-level density of states ... 4.77 states/eV per cell
Size of the total moment ... 3.182 μB/f.u.

Cell lengths 5.929, 5.929, 5.929 Å; angles 60.00, 60.00, 60.00 degrees
Site moments in Bohr magnetons follow the coordinates.
Positions (direct):
Sr (0.250, 0.250, 0.250)  0.01
Sr (0.750, 0.750, 0.750)  0.01
Ba (0.000, 0.000, 0.000)  -0.07
W (0.500, 0.500, 0.500)  2.35


[17]
DFT (PBE-GGA) results for crystalline CrBi3Pt at its relaxed geometry.

Values from the calculation:
E above lowest polymorph ... 0.000 eV/atom
Volume ... 130 Å³ per cell
Fermi-level density of states ... 3.19 states/eV per cell
Size of the total moment ... 0.000 μB/f.u.

Cell lengths 5.071, 5.071, 5.071 Å; angles 90.00, 90.00, 90.00 degrees
Positions (direct):
Cr (0.000, 0.000, 0.000)
Bi (0.000, 0.500, 0.000)
Bi (0.000, 0.000, 0.500)
Bi (0.500, 0.000, 0.000)
Pt (0.500, 0.500, 0.500)


[18]
DFT (PBE-GGA) results for crystalline MnBeIn2 at its relaxed geometry.

Values from the calculation:
Total DFT energy (no corrections) ... -4.1333 eV per atom
Volume ... 74 Å³ per cell
Fermi-level density of states ... 2.72 states/eV per cell
Size of the total moment ... 3.987 μB/f.u.

Cell lengths 8.774, 8.774, 8.774 Å; angles 20.77, 20.77, 20.77 degrees
Site moments in Bohr magnetons follow the coordinates.
Positions (direct):
Be (0.250, 0.250, 0.250)  0.01
Mn (0.750, 0.750, 0.750)  3.75
In (0.995, 0.995, 0.995)  -0.01
In (0.505, 0.505, 0.505)  -0.01


[19]
DFT (PBE-GGA) results for crystalline AcTbSm2Y5 at its relaxed geometry.

Values from the calculation:
Total DFT energy (no corrections) ... -5.3442 eV per atom
Volume ... 614 Å³ per cell
Fermi-level density of states ... 21.31 states/eV per cell
Size of the total moment ... 0.000 μB/f.u.

Cell lengths 8.827, 8.827, 10.054 Å; angles 116.04, 116.04, 90.00 degrees
Positions (direct):
Ac (0.250, 0.750, 0.500)
Ac (0.750, 0.250, 0.500)
Tb (0.250, 0.250, 0.500)
Tb (0.750, 0.750, 0.500)
Sm (0.115, 0.385, 0.000)
Sm (0.615, 0.115, 0.000)
Sm (0.385, 0.885, 0.000)
Sm (0.885, 0.615, 0.000)
Y (0.922, 0.422, 0.265)
Y (0.657, 0.157, 0.735)
Y (0.078, 0.578, 0.735)
Y (0.157, 0.078, 0.735)
Y (0.578, 0.657, 0.735)
Y (0.843, 0.922, 0.265)
Y (0.422, 0.343, 0.265)
Y (0.343, 0.843, 0.265)
Y (0.500, 0.500, 0.000)
Y (0.000, 0.000, 0.000)


[20]
DFT (PBE-GGA) results for crystalline Dy3Th at its relaxed geometry.

Values from the calculation:
E above lowest polymorph ... 0.121 eV/atom
Volume ... 128 Å³ per cell
Fermi-level density of states ... 8.89 states/eV per cell
Size of the total moment ... 0.001 μB/f.u.

Cell lengths 5.661, 5.661, 5.661 Å; angles 60.00, 60.00, 60.00 degrees
Positions (direct):
Th (0.500, 0.500, 0.500)
Dy (0.000, 0.000, 0.000)
Dy (0.750, 0.750, 0.750)
Dy (0.250, 0.250, 0.250)